No. 1
{
  "formula": "Mo2AsF",
  "functional": "GGA-PBEsol",
  "state": "optimized geometry",
  "crystal_system": "tetragonal",
  "relative_energy_kj_per_mol_atoms": 13.3,
  "lattice": [[-2.672, -2.941, -3.491], [1.306, -3.357, 3.874], [-3.206, 4.069, 1.071]],
  "species": ["F", "Mo", "F", "As", "Mo", "As", "Mo", "Mo"],
  "frac_coords": [[0.500, 0.250, 0.750], [0.067, 0.192, 0.625], [0.000, 0.500, 0.500], [0.000, 0.000, 0.000], [0.433, 0.875, 0.808], [0.500, 0.750, 0.250], [0.567, 0.375, 0.442], [0.933, 0.558, 0.125]]
}

No. 2
{
  "formula": "Mg16Al12Sb",
  "functional": "GGA-PBEsol",
  "state": "optimized geometry",
  "crystal_system": "trigonal",
  "lattice": [[9.066, -0.012, -0.021], [-2.983, 8.561, -0.021], [-2.983, -4.192, 7.464]],
  "species": ["Al", "Mg", "Mg", "Al", "Mg", "Al", "Mg", "Al", "Mg", "Al", "Mg", "Mg", "Al", "Sb", "Al", "Al", "Mg", "Mg", "Mg", "Mg", "Mg", "Mg", "Al", "Al", "Mg", "Al", "Mg", "Al", "Mg"],
  "frac_coords": [[0.639, 0.639, 0.826], [0.403, 0.681, 0.000], [0.681, 0.403, 0.000], [0.826, 0.639, 0.639], [0.000, 0.403, 0.681], [0.994, 0.183, 0.368], [0.316, 0.316, 0.714], [0.817, 0.186, 0.817], [0.681, 0.000, 0.403], [0.183, 0.994, 0.368], [0.714, 0.316, 0.316], [0.291, 0.599, 0.599], [0.817, 0.817, 0.186], [0.330, 0.330, 0.330], [0.639, 0.826, 0.639], [0.186, 0.817, 0.817], [0.999, 0.999, 0.999], [0.599, 0.291, 0.599], [0.002, 0.654, 0.002], [0.316, 0.714, 0.316], [0.403, 0.000, 0.681], [0.654, 0.002, 0.002], [0.994, 0.368, 0.183], [0.368, 0.183, 0.994], [0.599, 0.599, 0.291], [0.368, 0.994, 0.183], [0.002, 0.002, 0.654], [0.183, 0.368, 0.994], [0.000, 0.681, 0.403]]
}

| no. | total DFT energy (no corrections) (eV per atom) | total magnetic moment (μB per formula unit) |
| --- | --- | --- |
| 1 | -7.640 | 0.0 |
| 2 | -2.807 | 0.0 |